No. 1
First-principles (SCAN) data for a PBEsol-optimized structure of MgTl2, as listed in Alexandria via LeMat-Bulk.

Calculated values
As for the space group: P6/mmm. The value obtained for the density of states at the Fermi level is 0.4805 states/eV/atom. The calculated total energy comes out at -49.824 eV per atom. For the formation energy, the calculation gives 0.0731 eV per atom. As for the magnetization: 0.00 Bohr magnetons per cell.

Unit cell a=5.3834 b=5.3834 c=3.1690 alpha=90.00 beta=90.00 gamma=120.00
Element x y z (fractional)
Mg  0.0000  0.0000  0.0000
Tl  0.3333  0.6667  0.5000
Tl  0.6667  0.3333  0.5000

No. 2
First-principles (SCAN) data for a PBEsol-optimized structure of Mg3Tl5, as listed in Alexandria via LeMat-Bulk.

Calculated values
As for the space group: Cmmm. The value obtained for the density of states at the Fermi level is 0.3162 states/eV/atom. The calculated total energy comes out at -47.131 eV per atom. For the formation energy, the calculation gives -0.0423 eV per atom. As for the magnetization: 0.00 Bohr magnetons per cell.

Unit cell a=6.4018 b=6.4018 c=5.0570 alpha=90.00 beta=90.00 gamma=103.53
Element x y z (fractional)
Mg  0.0000  0.0000  0.0000
Mg  0.2588  0.7412  0.5000
Mg  0.7412  0.2588  0.5000
Tl  0.0000  0.5000  0.0000
Tl  0.2300  0.2300  0.5000
Tl  0.5000  0.0000  0.0000
Tl  0.5000  0.5000  0.0000
Tl  0.7700  0.7700  0.5000

No. 3
First-principles (SCAN) data for a PBEsol-optimized structure of MgTl2, as listed in Alexandria via LeMat-Bulk.

Calculated values
As for the space group: Immm. The value obtained for the density of states at the Fermi level is 0.4240 states/eV/atom. The calculated total energy comes out at -49.898 eV per atom. For the formation energy, the calculation gives -0.0011 eV per atom. As for the magnetization: 0.00 Bohr magnetons per cell.

Unit cell a=5.3345 b=5.3345 c=5.3345 alpha=142.78 beta=118.45 gamma=74.18
Element x y z (fractional)
Mg  0.0000  0.0000  0.0000
Tl  0.3135  0.8135  0.5000
Tl  0.6865  0.1865  0.5000